Record 1
Crystalline ZnBIO2 at its relaxed geometry, computed with GGA-PBEsol.

## Properties
ΔE to the lowest computed polymorph	0.519	eV per atom
E_form (uncorrected)	660	meV/atom

Lattice parameters (Å, degrees): 3.688 3.688 6.258 90.00 90.00 90.00
Last column: magnetic moment on the atom in μB.
Atoms (fractional coordinates):
B 0.500 0.500 0.500  -0.02
O 0.000 0.500 0.000  0.49
O 0.500 0.000 0.000  0.49
Zn 0.000 0.000 0.000  0.03
I 0.000 0.000 0.500  -0.01

Record 2
Crystalline LaBe2Pt at its relaxed geometry, computed with GGA-PBEsol.

## Properties
final energy	-4.997	eV per atom

Lattice parameters (Å, degrees): 4.626 4.626 4.626 60.00 60.00 60.00
Atoms (fractional coordinates):
Pt 0.750 0.750 0.750
Be 0.250 0.250 0.250
Be 0.000 0.000 0.000
La 0.500 0.500 0.500

Record 3
Crystalline CuRh at its relaxed geometry, computed with GGA-PBEsol.

## Properties
final energy	-6.124	eV per atom

Lattice parameters (Å, degrees): 2.619 2.619 4.267 90.00 90.00 120.00
Last column: magnetic moment on the atom in μB.
Atoms (fractional coordinates):
Rh 0.667 0.333 0.500  0.12
Cu 0.000 0.000 0.000  0.02

N(E_F)
In order: 1.582; 3.433; 3.086
Unit: states/eV/cell
Total moment
In order: 1.10; 0.00; 0.13
Unit: μB/cell